Below is a relaxed Mg2HgRh2 crystal, with properties calculated at the GGA-PBE level.

It has space group P4/mbm (No. 127), with a = 7.328 Å, b = 7.328 Å, c = 3.118 Å, α = 90.00°, β = 90.00° and γ = 90.00°. The asymmetric unit holds Mg at (0.135, 0.365, 0.000), Hg at (0.000, 0.000, 0.000) and Rh at (0.162, 0.662, 0.500).

Its formation energy is -0.208 eV/atom. The density is 9.023 g cm⁻³. The energy above the most stable polymorph in this dataset is 0.126 eV per atom.

---

Below is a relaxed Pr3YSi4 crystal, with properties calculated at the GGA-PBE level.

It has space group Immm (No. 71), with a = 4.246 Å, b = 6.302 Å, c = 16.157 Å, α = 90.00°, β = 90.00° and γ = 90.00°. The asymmetric unit holds Pr at (0.000, 0.000, 0.000), Pr at (0.000, 0.500, 0.194), Y at (0.000, 0.000, 0.500) and Si at (0.000, 0.315, 0.371).

The density is 4.793 g cm⁻³. The formation energy without anion corrections is -0.554 eV/atom.